A.
Density functional theory data (GGA+U) for a relaxed VCdCl2O crystal.

Unit cell a=5.7232 b=5.7232 c=3.5602 alpha=90.00 beta=90.00 gamma=90.00
Positions (direct):
V 0.0000 0.0000 0.0000
Cd 0.5000 0.5000 0.0000
Cl 0.0000 0.5000 0.5000
Cl 0.5000 0.0000 0.5000
O 0.0000 0.0000 0.5000

Results
The mass density comes out at 3.56 Mg/m³.



B.
Density functional theory data (GGA+U) for a relaxed VCdCl2O crystal.

Unit cell a=5.5310 b=5.5310 c=3.8726 alpha=90.00 beta=90.00 gamma=90.00
Positions (direct):
V 0.0000 0.0000 0.0000
Cd 0.5000 0.5000 0.0000
Cl 0.0000 0.5000 0.5000
Cl 0.5000 0.0000 0.5000
O 0.5000 0.5000 0.5000

Results
The mass density comes out at 3.51 Mg/m³.



Going by the energies, A is most stable and the next is 0.553 eV/atom up.